(1)
Material: Pm3Pt4Au2
Method: DFT, PBE
State: relaxed

Calculated values
Calculated volume: 404 Å³ per cell
E: -5.889 eV per atom

CIF file:
```
data_Pm3Pt4Au2
_space_group_name_H-M_alt 'C 1 2/m 1'
_space_group_IT_number 12
_cell_length_a 11.5503
_cell_length_b 4.1625
_cell_length_c 9.4848
_cell_angle_alpha 90.00
_cell_angle_beta 117.70
_cell_angle_gamma 90.00
loop_
_space_group_symop_operation_xyz
'x,y,z'
'-x,-y,-z'
'-x,y,-z'
'x,-y,z'
'x+1/2,y+1/2,z'
'-x+1/2,-y+1/2,-z'
'-x+1/2,y+1/2,-z'
'x+1/2,-y+1/2,z'
loop_
_atom_site_label
_atom_site_fract_x
_atom_site_fract_y
_atom_site_fract_z
_atom_site_occupancy
Pm1 0.0000 0.0000 0.0000 1
Pm2 0.1396 0.5000 0.6944 1
Pt1 0.0760 0.0000 0.4289 1
Pt2 0.2066 0.5000 0.0520 1
Au1 0.1452 0.5000 0.2969 1
```



(2)
Material: Pm4Pt3Au
Method: DFT, PBE
State: relaxed

Calculated values
Calculated volume: 195 Å³ per cell
E: -6.141 eV per atom

CIF file:
```
data_Pm4Pt3Au
_space_group_name_H-M_alt 'P m m 2'
_space_group_IT_number 25
_cell_length_a 3.8712
_cell_length_b 4.6364
_cell_length_c 10.8867
_cell_angle_alpha 90.00
_cell_angle_beta 90.00
_cell_angle_gamma 90.00
loop_
_space_group_symop_operation_xyz
'x,y,z'
'-x,-y,z'
'-x,y,z'
'x,-y,z'
loop_
_atom_site_label
_atom_site_fract_x
_atom_site_fract_y
_atom_site_fract_z
_atom_site_occupancy
Pm1 0.0000 0.0000 0.0000 1
Pm2 0.0000 0.5000 0.2674 1
Pm3 0.5000 0.0000 0.4862 1
Pm4 0.5000 0.5000 0.7688 1
Pt1 0.0000 0.5000 0.5429 1
Pt2 0.5000 0.0000 0.2180 1
Pt3 0.5000 0.5000 0.0407 1
Au1 0.0000 0.0000 0.7160 1
```



(3)
Material: PmPtAu2
Method: DFT, PBE
State: relaxed

Calculated values
Calculated volume: 330 Å³ per cell
ΔE to the lowest computed polymorph: 153 meV/atom
E: -4.947 eV per atom

CIF file:
```
data_PmPtAu2
_space_group_name_H-M_alt 'F m -3 m'
_space_group_IT_number 225
_space_group_name_Hall '-F 4 2 3'
_cell_length_a 6.9102
_cell_length_b 6.9102
_cell_length_c 6.9102
_cell_angle_alpha 90.00
_cell_angle_beta 90.00
_cell_angle_gamma 90.00
loop_
_atom_site_label
_atom_site_fract_x
_atom_site_fract_y
_atom_site_fract_z
_atom_site_occupancy
Pm1 0.0000 0.0000 0.0000 1
Pt1 0.0000 0.0000 0.5000 1
Au1 0.2500 0.2500 0.2500 1
```



(4)
Material: Pm6Pt2Au
Method: DFT, PBE
State: relaxed

Calculated values
Calculated volume: 1007 Å³ per cell
E: -5.577 eV per atom

CIF file:
```
data_Pm6Pt2Au
_space_group_name_H-M_alt 'I m m m'
_space_group_IT_number 71
_space_group_name_Hall '-I 2 2'
_cell_length_a 9.5327
_cell_length_b 10.0336
_cell_length_c 10.5235
_cell_angle_alpha 90.00
_cell_angle_beta 90.00
_cell_angle_gamma 90.00
loop_
_atom_site_label
_atom_site_fract_x
_atom_site_fract_y
_atom_site_fract_z
_atom_site_occupancy
Pm1 0.0000 0.1924 0.2365 1
Pm2 0.2003 0.5000 0.1678 1
Pm3 0.2151 0.3231 0.5000 1
Pt1 0.0000 0.3435 0.0000 1
Pt2 0.0000 0.5000 0.3659 1
Au1 0.0000 0.0000 0.0000 1
Au2 0.0000 0.0000 0.5000 1
```



(5)
Material: Pm3Pt2Au
Method: DFT, PBE
State: relaxed

Calculated values
Calculated volume: 282 Å³ per cell
ΔE to the lowest computed polymorph: 176 meV/atom
E: -5.742 eV per atom

CIF file:
```
data_Pm3Pt2Au
_space_group_name_H-M_alt 'C m m m'
_space_group_IT_number 65
_space_group_name_Hall '-C 2 2'
_cell_length_a 3.9279
_cell_length_b 15.5573
_cell_length_c 4.6128
_cell_angle_alpha 90.00
_cell_angle_beta 90.00
_cell_angle_gamma 90.00
loop_
_atom_site_label
_atom_site_fract_x
_atom_site_fract_y
_atom_site_fract_z
_atom_site_occupancy
Pm1 0.0000 0.0000 0.0000 1
Pm2 0.0000 0.1628 0.5000 1
Pt1 0.0000 0.3245 0.0000 1
Au1 0.0000 0.5000 0.5000 1
```



(6)
Material: Pm2PtAu
Method: DFT, PBE
State: relaxed

Calculated values
Calculated volume: 385 Å³ per cell
ΔE to the lowest computed polymorph: 79 meV/atom
E: -5.634 eV per atom

CIF file:
```
data_Pm2PtAu
_space_group_name_H-M_alt 'F m -3 m'
_space_group_IT_number 225
_space_group_name_Hall '-F 4 2 3'
_cell_length_a 7.2776
_cell_length_b 7.2776
_cell_length_c 7.2776
_cell_angle_alpha 90.00
_cell_angle_beta 90.00
_cell_angle_gamma 90.00
loop_
_atom_site_label
_atom_site_fract_x
_atom_site_fract_y
_atom_site_fract_z
_atom_site_occupancy
Pm1 0.2500 0.2500 0.2500 1
Pt1 0.0000 0.0000 0.0000 1
Au1 0.0000 0.0000 0.5000 1
```



(7)
Material: Pm2Pt2Au3
Method: DFT, PBE
State: relaxed

Calculated values
Calculated volume: 301 Å³ per cell
E: -5.299 eV per atom

CIF file:
```
data_Pm2Pt2Au3
_space_group_name_H-M_alt 'C 1 2/m 1'
_space_group_IT_number 12
_cell_length_a 10.2097
_cell_length_b 4.1670
_cell_length_c 7.1214
_cell_angle_alpha 90.00
_cell_angle_beta 95.96
_cell_angle_gamma 90.00
loop_
_space_group_symop_operation_xyz
'x,y,z'
'-x,-y,-z'
'-x,y,-z'
'x,-y,z'
'x+1/2,y+1/2,z'
'-x+1/2,-y+1/2,-z'
'-x+1/2,y+1/2,-z'
'x+1/2,-y+1/2,z'
loop_
_atom_site_label
_atom_site_fract_x
_atom_site_fract_y
_atom_site_fract_z
_atom_site_occupancy
Pm1 0.1164 0.0000 0.3225 1
Pt1 0.0940 0.5000 0.6427 1
Au1 0.0000 0.5000 0.0000 1
Au2 0.1967 0.0000 0.8771 1
```



(8)
Material: PmPtAu
Method: DFT, PBE
State: relaxed

Calculated values
Calculated volume: 68 Å³ per cell
ΔE to the lowest computed polymorph: 83 meV/atom
E: -5.522 eV per atom

CIF file:
```
data_PmPtAu
_space_group_name_H-M_alt 'P 3 m 1'
_space_group_IT_number 156
_cell_length_a 4.6498
_cell_length_b 4.6498
_cell_length_c 3.6201
_cell_angle_alpha 90.00
_cell_angle_beta 90.00
_cell_angle_gamma 120.00
loop_
_space_group_symop_operation_xyz
'x,y,z'
'-y,x-y,z'
'-x+y,-x,z'
'-y,-x,z'
'-x+y,y,z'
'x,x-y,z'
loop_
_atom_site_label
_atom_site_fract_x
_atom_site_fract_y
_atom_site_fract_z
_atom_site_occupancy
Pm1 0.0000 0.0000 0.0000 1
Pt1 0.6667 0.3333 0.5015 1
Au1 0.3333 0.6667 0.4992 1
```



(9)
Material: PmPt6Au
Method: DFT, PBE
State: relaxed

Calculated values
Calculated volume: 144 Å³ per cell
E: -5.628 eV per atom

CIF file:
```
data_PmPt6Au
_space_group_name_H-M_alt 'P m -3'
_space_group_IT_number 200
_space_group_name_Hall '-P 2 2 3'
_cell_length_a 5.2437
_cell_length_b 5.2437
_cell_length_c 5.2437
_cell_angle_alpha 90.00
_cell_angle_beta 90.00
_cell_angle_gamma 90.00
loop_
_atom_site_label
_atom_site_fract_x
_atom_site_fract_y
_atom_site_fract_z
_atom_site_occupancy
Pm1 0.0000 0.0000 0.0000 1
Pt1 0.0000 0.2546 0.5000 1
Au1 0.5000 0.5000 0.5000 1
```



(10)
Material: PmPtAu
Method: DFT, PBE
State: relaxed

Calculated values
Calculated volume: 130 Å³ per cell
ΔE to the lowest computed polymorph: 57 meV/atom
E: -5.548 eV per atom

CIF file:
```
data_PmPtAu
_space_group_name_H-M_alt 'I 4 m m'
_space_group_IT_number 107
_space_group_name_Hall 'I 4 -2'
_cell_length_a 3.7753
_cell_length_b 3.7753
_cell_length_c 9.1409
_cell_angle_alpha 90.00
_cell_angle_beta 90.00
_cell_angle_gamma 90.00
loop_
_atom_site_label
_atom_site_fract_x
_atom_site_fract_y
_atom_site_fract_z
_atom_site_occupancy
Pm1 0.0000 0.0000 0.0000 1
Pt1 0.0000 0.0000 0.3441 1
Au1 0.0000 0.0000 0.6732 1
```



(11)
Material: Pm2PtAu
Method: DFT, PBE
State: relaxed

Calculated values
Calculated volume: 327 Å³ per cell
ΔE to the lowest computed polymorph: 99 meV/atom
E: -5.614 eV per atom

CIF file:
```
data_Pm2PtAu
_space_group_name_H-M_alt 'R 3 m'
_space_group_IT_number 160
_space_group_name_Hall 'R 3 -2"'
_cell_length_a 4.1960
_cell_length_b 4.1960
_cell_length_c 21.4445
_cell_angle_alpha 90.00
_cell_angle_beta 90.00
_cell_angle_gamma 120.00
loop_
_atom_site_label
_atom_site_fract_x
_atom_site_fract_y
_atom_site_fract_z
_atom_site_occupancy
Pm1 0.0000 0.0000 0.0000 1
Pm2 0.0000 0.0000 0.1827 1
Pt1 0.0000 0.0000 0.5903 1
Au1 0.0000 0.0000 0.4256 1
```



Repeat the tenth record exactly.
Material: PmPtAu
Method: DFT, PBE
State: relaxed

Calculated values
Calculated volume: 130 Å³ per cell
ΔE to the lowest computed polymorph: 57 meV/atom
E: -5.548 eV per atom

CIF file:
```
data_PmPtAu
_space_group_name_H-M_alt 'I 4 m m'
_space_group_IT_number 107
_space_group_name_Hall 'I 4 -2'
_cell_length_a 3.7753
_cell_length_b 3.7753
_cell_length_c 9.1409
_cell_angle_alpha 90.00
_cell_angle_beta 90.00
_cell_angle_gamma 90.00
loop_
_atom_site_label
_atom_site_fract_x
_atom_site_fract_y
_atom_site_fract_z
_atom_site_occupancy
Pm1 0.0000 0.0000 0.0000 1
Pt1 0.0000 0.0000 0.3441 1
Au1 0.0000 0.0000 0.6732 1
```



- E of number 3 (PmPtAu2)?
  -4.947 eV per atom



- What is the formula in the eleventh record?
  Pm2PtAu



- Which of these has the lowest E?
  Pm4Pt3Au